Entry 1:
A geometry-optimized Ca2PmTl structure. Source: the Alexandria database, functional PBE.

The formation energy is -0.689 eV per formula unit. The calculation puts the distance to the lowest polymorph of the same formula at 0.08 eV per formula unit. The magnetization is 0.00 μB per formula unit. Its crystal system is orthorhombic. For the total energy, the calculation gives -2.952 eV per atom. Its space-group type is Cmcm.

a b c (Å): 5.510 5.519 10.191
angles (deg): 90.00 90.00 119.92
Sites, in units of the cell vectors:
Ca1 0.334 0.667 0.571
Ca2 0.666 0.333 0.429
Ca3 0.334 0.667 0.929
Ca4 0.666 0.333 0.071
Pm1 0.000 0.999 0.250
Pm2 0.000 0.001 0.750
Tl1 0.667 0.335 0.750
Tl2 0.333 0.665 0.250

***

Entry 2:
A geometry-optimized Ca3PmTl4 structure. Source: the Alexandria database, functional PBE.

The formation energy is -3.422 eV per formula unit. The magnetization is 0.00 μB per formula unit. Its crystal system is tetragonal. For the total energy, the calculation gives -2.955 eV per atom. Its space-group type is P4/mmm.

a b c (Å): 3.853 3.853 15.787
angles (deg): 90.00 90.00 90.00
Sites, in units of the cell vectors:
Ca1 0.500 0.500 0.252
Ca2 0.500 0.500 0.500
Ca3 0.500 0.500 0.748
Tl1 0.000 0.000 0.873
Tl2 0.000 0.000 0.127
Tl3 0.000 0.000 0.375
Tl4 0.000 0.000 0.625
Pm1 0.500 0.500 0.000

***

Entry 3:
A geometry-optimized Ca4PmTl15 structure. Source: the Alexandria database, functional PBE.

The formation energy is -5.035 eV per formula unit. The magnetization is 0.00 μB per formula unit. Its crystal system is tetragonal. For the total energy, the calculation gives -2.664 eV per atom. Its space-group type is P4/mmm.

a b c (Å): 4.848 4.848 24.345
angles (deg): 90.00 90.00 90.00
Sites, in units of the cell vectors:
Ca1 0.000 0.000 0.197
Ca2 0.000 0.000 0.399
Ca3 0.000 0.000 0.601
Ca4 0.000 0.000 0.803
Pm1 0.000 0.000 0.000
Tl1 0.500 0.500 0.000
Tl2 0.500 0.500 0.200
Tl3 0.500 0.500 0.399
Tl4 0.500 0.500 0.601
Tl5 0.500 0.500 0.800
Tl6 0.500 0.000 0.099
Tl7 0.500 0.000 0.299
Tl8 0.500 0.000 0.500
Tl9 0.500 0.000 0.701
Tl10 0.500 0.000 0.901
Tl11 0.000 0.500 0.099
Tl12 0.000 0.500 0.299
Tl13 0.000 0.500 0.500
Tl14 0.000 0.500 0.701
Tl15 0.000 0.500 0.901

***

Entry 4:
A geometry-optimized Ca2Pm3Tl4 structure. Source: the Alexandria database, functional PBE.

The formation energy is -3.080 eV per formula unit. The calculation puts the distance to the lowest polymorph of the same formula at 0.00 eV per formula unit. The magnetization is 0.00 μB per formula unit. Its crystal system is monoclinic. For the total energy, the calculation gives -3.422 eV per atom. Its space-group type is C2/m.

a b c (Å): 5.435 5.438 10.621
angles (deg): 89.96 90.00 60.02
Sites, in units of the cell vectors:
Ca1 0.333 0.334 0.779
Ca2 0.667 0.666 0.221
Pm1 0.334 0.333 0.413
Pm2 0.000 0.000 0.000
Pm3 0.666 0.667 0.587
Tl1 0.667 0.667 0.903
Tl2 0.000 0.999 0.348
Tl3 0.000 0.001 0.652
Tl4 0.333 0.333 0.097

***

Entry 5:
A geometry-optimized Ca2Pm2Tl3 structure. Source: the Alexandria database, functional PBE.

The formation energy is -2.171 eV per formula unit. The magnetization is 0.00 μB per formula unit. Its crystal system is orthorhombic. For the total energy, the calculation gives -3.253 eV per atom. Its space-group type is Cmmm.

a b c (Å): 3.775 3.718 15.898
angles (deg): 90.00 83.18 90.00
Sites, in units of the cell vectors:
Ca1 0.696 0.500 0.609
Ca2 0.304 0.500 0.391
Pm1 0.567 0.500 0.867
Pm2 0.433 0.500 0.133
Tl1 0.867 0.000 0.266
Tl2 0.000 0.000 0.000
Tl3 0.133 0.000 0.734

***

Entry 6:
A geometry-optimized Ca2PmTl structure. Source: the Alexandria database, functional PBE.

The formation energy is -0.626 eV per formula unit. The calculation puts the distance to the lowest polymorph of the same formula at 0.15 eV per formula unit. The magnetization is 0.00 μB per formula unit. Its crystal system is tetragonal. For the total energy, the calculation gives -2.937 eV per atom. Its space-group type is P4/mmm.

a b c (Å): 3.645 3.645 10.027
angles (deg): 90.00 90.00 90.00
Sites, in units of the cell vectors:
Tl1 0.500 0.500 0.000
Ca1 0.000 0.000 0.787
Ca2 0.000 0.000 0.213
Pm1 0.500 0.500 0.500

***

Entry 7:
A geometry-optimized CaPm5Tl4 structure. Source: the Alexandria database, functional PBE.

The formation energy is -2.802 eV per formula unit. The calculation puts the distance to the lowest polymorph of the same formula at 0.00 eV per formula unit. The magnetization is 0.00 μB per formula unit. Its crystal system is tetragonal. For the total energy, the calculation gives -3.802 eV per atom. Its space-group type is P4/mmm.

a b c (Å): 3.725 3.725 22.395
angles (deg): 90.00 90.00 90.00
Sites, in units of the cell vectors:
Ca1 0.000 0.000 0.000
Pm1 0.500 0.500 0.126
Pm2 0.500 0.500 0.312
Pm3 0.500 0.500 0.500
Pm4 0.500 0.500 0.688
Pm5 0.500 0.500 0.874
Tl1 0.000 0.000 0.217
Tl2 0.000 0.000 0.406
Tl3 0.000 0.000 0.594
Tl4 0.000 0.000 0.783

***

Entry 8:
A geometry-optimized CaPmTl6 structure. Source: the Alexandria database, functional PBE.

The formation energy is -2.110 eV per formula unit. The magnetization is 0.00 μB per formula unit. Its crystal system is tetragonal. For the total energy, the calculation gives -2.882 eV per atom. Its space-group type is P4/mmm.

a b c (Å): 4.824 4.824 9.720
angles (deg): 90.00 90.00 90.00
Sites, in units of the cell vectors:
Ca1 0.000 0.000 0.000
Pm1 0.000 0.000 0.500
Tl1 0.500 0.500 0.000
Tl2 0.500 0.500 0.500
Tl3 0.500 0.000 0.251
Tl4 0.500 0.000 0.749
Tl5 0.000 0.500 0.251
Tl6 0.000 0.500 0.749

***

What did the third record say?
A geometry-optimized Ca4PmTl15 structure. Source: the Alexandria database, functional PBE.

The formation energy is -5.035 eV per formula unit. The magnetization is 0.00 μB per formula unit. Its crystal system is tetragonal. For the total energy, the calculation gives -2.664 eV per atom. Its space-group type is P4/mmm.

a b c (Å): 4.848 4.848 24.345
angles (deg): 90.00 90.00 90.00
Sites, in units of the cell vectors:
Ca1 0.000 0.000 0.197
Ca2 0.000 0.000 0.399
Ca3 0.000 0.000 0.601
Ca4 0.000 0.000 0.803
Pm1 0.000 0.000 0.000
Tl1 0.500 0.500 0.000
Tl2 0.500 0.500 0.200
Tl3 0.500 0.500 0.399
Tl4 0.500 0.500 0.601
Tl5 0.500 0.500 0.800
Tl6 0.500 0.000 0.099
Tl7 0.500 0.000 0.299
Tl8 0.500 0.000 0.500
Tl9 0.500 0.000 0.701
Tl10 0.500 0.000 0.901
Tl11 0.000 0.500 0.099
Tl12 0.000 0.500 0.299
Tl13 0.000 0.500 0.500
Tl14 0.000 0.500 0.701
Tl15 0.000 0.500 0.901

***

> Number 3 is which compound?

Ca4PmTl15

***

> Number 5 is which compound?

Ca2Pm2Tl3